# 1
The following is a DFT calculation (SCAN) of a PBEsol-optimized structure of HfVGe.

Unit cell a=3.671 b=3.671 c=7.588 alpha=104.00 beta=104.00 gamma=90.00
Sites, in units of the cell vectors:
Hf1 0.677 0.677 0.354
Hf2 0.323 0.323 0.646
Ge1 0.872 0.872 0.744
Ge2 0.128 0.128 0.256
V1 0.500 0.000 0.000
V2 0.000 0.500 0.000

Summary:
formation energy	-695	meV/atom
space group	No. 139
E	-202.7	eV per cell

=====

# 2
The following is a DFT calculation (SCAN) of a PBEsol-optimized structure of Sb2HPdI.

Unit cell a=5.104 b=5.104 c=5.729 alpha=90.00 beta=90.00 gamma=90.00
Site moments in Bohr magnetons follow the coordinates.
Sites, in units of the cell vectors:
H1 0.500 0.500 0.500  0.35
Sb1 0.000 0.500 0.000  0.01
Sb2 0.500 0.000 0.000  0.01
I1 0.000 0.000 0.500  0.03
Pd1 0.000 0.000 0.000  0.01

Summary:
space group	No. 123
E	-143.8	eV per cell

=====

# 3
The following is a DFT calculation (SCAN) of a PBEsol-optimized structure of LiHfNb3.

Unit cell a=4.462 b=4.462 c=4.462 alpha=90.00 beta=90.00 gamma=90.00
Sites, in units of the cell vectors:
Nb1 0.000 0.500 0.000
Nb2 0.500 0.000 0.000
Nb3 0.000 0.000 0.500
Hf1 0.500 0.500 0.500
Li1 0.000 0.000 0.000

Summary:
formation energy	978	meV/atom
space group	No. 221
energy relative to the lowest polymorph listed for this composition	0.000	eV/atom
E	-159.6	eV per cell

=====

Number 1: size of the total moment 0.00 Bohr magnetons per cell. Number 2: size of the total moment 0.95 Bohr magnetons per cell. Number 3: size of the total moment 0.00 Bohr magnetons per cell.